# HfUS4 (PBE, optimized geometry)
# - N(E_F): 1.03 states/eV/atom
# - ΔE_f (raw): -1456 meV per atom
# - Magnetic moment: 8.031 Bohr magnetons per cell
# - Calculated volume: 26.43 A^3/atom
data_HfUS4
_cell_length_a 7.3284
_cell_length_b 8.0744
_cell_length_c 10.7208
_cell_angle_alpha 90.00
_cell_angle_beta 90.00
_cell_angle_gamma 90.00
_space_group_name_H-M_alt 'I m m a'
_space_group_IT_number 74
_space_group_name_Hall '-I 2b 2'
loop_
_atom_site_label
_atom_site_type_symbol
_atom_site_fract_x
_atom_site_fract_y
_atom_site_fract_z
_atom_site_occupancy
Hf1 Hf 0.2500 0.2500 0.2500 1
U1 U 0.0000 0.0000 0.0000 1
S1 S 0.0000 0.0288 0.2492 1
S2 S 0.2414 0.2500 0.0115 1